Compound: BaLi8Ca3
Source: the Alexandria database
Functional: PBE
Structure: optimized geometry

The space group is R3m (No. 160, hexagonal axes) and the conventional cell measures 6.3266, 6.3266 and 30.5023 Å, with angles of 90.00, 90.00 and 120.00 degrees. Symmetry generates all atoms from Ba at (0.0000, 0.0000, 0.0000), Li at (0.0000, 0.0000, 0.3098), Li at (0.0000, 0.0000, 0.8135), Li at (0.1676, 0.3352, 0.3988), Li at (0.1687, 0.3375, 0.8932), Ca at (0.0000, 0.0000, 0.1283), Ca at (0.0000, 0.0000, 0.4991) and Ca at (0.0000, 0.0000, 0.6210).

Its formation energy from the elements is 0.0098 eV per atom. Its crystal system is trigonal. The value obtained for the density of states at the Fermi level is 34.9 states/eV per cell.